VASP calculation (PBE) on a geometry-optimized DyPa2Re structure.

Cell: 3.311 3.311 8.917 Å, 90.00 90.00 90.00°
Fractional coordinates of all 4 atoms:
Dy  0.000  0.000  0.000
Pa  0.500  0.500  0.297
Pa  0.500  0.500  0.703
Re  0.000  0.000  0.500

- magnetization (μB/atom) = 0.0000
- formation enthalpy at 0 K (eV/atom) = 0.134
- space group = No. 123
- uncorrected energy (eV per atom) = -8.88
- D(E_F) (states/eV per atom) = 2.490
- crystal system = tetragonal
- E above lowest polymorph (meV/atom) = 0

VASP calculation (PBE) on a geometry-optimized Ho5TlSe4 structure.

Cell: 7.162 7.162 7.162 Å, 99.56 99.56 131.89°
Fractional coordinates of all 10 atoms:
Ho  0.000  0.000  0.000
Ho  0.195  0.601  0.796
Ho  0.399  0.195  0.595
Ho  0.601  0.805  0.405
Ho  0.805  0.399  0.204
Tl  0.500  0.500  0.000
Se  0.101  0.301  0.402
Se  0.301  0.899  0.200
Se  0.699  0.101  0.800
Se  0.899  0.699  0.598

- magnetization (μB/atom) = 0.0000
- space group = No. 87
- uncorrected energy (eV per atom) = -5.37
- D(E_F) (states/eV per atom) = 0.354
- crystal system = tetragonal

VASP calculation (PBE) on a geometry-optimized BaMnAl2 structure.

Cell: 10.379 10.379 10.379 Å, 17.82 17.82 17.82°
Fractional coordinates of all 4 atoms:
Ba  0.000  0.000  0.000
Mn  0.235  0.235  0.235
Al  0.503  0.503  0.503
Al  0.765  0.765  0.765

- magnetization (μB/atom) = 0.9319
- formation enthalpy at 0 K (eV/atom) = 0.542
- space group = No. 160
- uncorrected energy (eV per atom) = -4.10
- D(E_F) (states/eV per atom) = 0.879
- crystal system = trigonal

VASP calculation (PBE) on a geometry-optimized Zr2BiPb structure.

Cell: 3.569 3.569 7.666 Å, 90.00 90.00 90.00°
Fractional coordinates of all 4 atoms:
Zr  0.000  0.000  0.236
Zr  0.000  0.000  0.764
Bi  0.500  0.500  0.000
Pb  0.500  0.500  0.500

- magnetization (μB/atom) = 0.0000
- formation enthalpy at 0 K (eV/atom) = -0.119
- space group = No. 123
- uncorrected energy (eV per atom) = -6.29
- D(E_F) (states/eV per atom) = 1.144
- crystal system = tetragonal

VASP calculation (PBE) on a geometry-optimized CaTm2Tl4 structure.

Cell: 6.467 6.467 6.467 Å, 108.17 108.17 112.11°
Fractional coordinates of all 7 atoms:
Ca  0.000  0.000  0.000
Tm  0.000  0.500  0.500
Tm  0.500  0.000  0.500
Tl  0.000  0.000  0.500
Tl  0.000  0.500  0.000
Tl  0.500  0.000  0.000
Tl  0.500  0.500  0.500

- magnetization (μB/atom) = 0.0000
- formation enthalpy at 0 K (eV/atom) = -0.236
- space group = No. 139
- uncorrected energy (eV per atom) = -3.15
- D(E_F) (states/eV per atom) = 0.717
- crystal system = tetragonal

VASP calculation (PBE) on a geometry-optimized Mo2Os2Ru7 structure.

Cell: 4.730 6.586 11.411 Å, 79.03 85.98 73.03°
Fractional coordinates of all 22 atoms:
Mo  0.010  0.414  0.314
Mo  0.488  0.092  0.199
Mo  0.512  0.908  0.801
Mo  0.990  0.586  0.686
Os  0.237  0.578  0.465
Os  0.282  0.929  0.019
Os  0.718  0.071  0.981
Os  0.763  0.422  0.535
Ru  0.056  0.754  0.879
Ru  0.094  0.016  0.387
Ru  0.154  0.785  0.232
Ru  0.237  0.327  0.883
Ru  0.332  0.230  0.635
Ru  0.332  0.487  0.089
Ru  0.465  0.828  0.575
Ru  0.535  0.172  0.425
Ru  0.668  0.513  0.911
Ru  0.668  0.770  0.365
Ru  0.763  0.673  0.117
Ru  0.846  0.215  0.768
Ru  0.906  0.984  0.613
Ru  0.944  0.246  0.121

- magnetization (μB/atom) = 0.0000
- formation enthalpy at 0 K (eV/atom) = 0.292
- space group = No. 2
- uncorrected energy (eV per atom) = -9.62
- D(E_F) (states/eV per atom) = 0.900
- crystal system = triclinic

Q: Number 3 is which compound?
A: BaMnAl2